This record from the Alexandria database describes a geometry-optimized Li5Ga6Pd structure. The functional is GGA-PBE.

## Properties
Formation energy from the elements (eV per atom): -0.342
Raw total energy (eV/atom): -3.085

Cell lengths 3.953, 11.800, 7.950 Å; angles 90.00, 90.00, 90.00 degrees
Space group Cmmm (No. 65)
Asymmetric unit:
Li 0.000 0.000 0.000
Li 0.000 0.335 0.000
Li 0.000 0.337 0.500
Ga 0.000 0.168 0.257
Ga 0.000 0.500 0.259
Pd 0.000 0.000 0.500

***

This record from the Alexandria database describes a geometry-optimized SiHgIr2 structure. The functional is GGA-PBE.

## Properties
E above lowest polymorph (eV/atom): 0.086
Raw total energy (eV/atom): -5.966
Uncorrected formation energy (eV per formula unit): -0.4

Cell lengths 7.078, 2.880, 7.660 Å; angles 90.00, 109.98, 90.00 degrees
Space group C2/m (No. 12)
Asymmetric unit:
Si 0.000 0.000 0.000
Hg 0.000 0.000 0.500
Ir 0.150 0.500 0.832

***

This record from the Alexandria database describes a geometry-optimized RbPmSe2 structure. The functional is GGA-PBE.

## Properties
Raw total energy (eV/atom): -4.674
Uncorrected formation energy (eV per formula unit): -6.0

Cell lengths 3.747, 3.747, 8.242 Å; angles 90.00, 90.00, 90.00 degrees
Space group P4/mmm (No. 123)
Asymmetric unit:
Rb 0.000 0.000 0.000
Pm 0.000 0.000 0.500
Se 0.500 0.500 0.296